# 1
# Zr2Hg2Pb (GGA-PBE, relaxed)
data_Zr2Hg2Pb
_cell_length_a 8.421
_cell_length_b 8.421
_cell_length_c 3.376
_cell_angle_alpha 90.00
_cell_angle_beta 90.00
_cell_angle_gamma 90.00
_space_group_name_H-M_alt 'P 4/m b m'
_space_group_IT_number 127
_space_group_name_Hall '-P 4 2ab'
loop_
_atom_site_label
_atom_site_fract_x
_atom_site_fract_y
_atom_site_fract_z
Zr1 0.170 0.330 0.000
Hg1 0.127 0.627 0.500
Pb1 0.000 0.000 0.500
# - Mass density: 10.97 g/cm³
# - Crystal system: tetragonal
# - DOS at the Fermi energy: 8.79 states/eV per cell
# - DFT formation energy: 0.044 eV per atom
# - Energy above the lowest structure with this stoichiometry: 21 meV per atom

# 2
# ZrHgPb (GGA-PBE, relaxed)
data_ZrHgPb
_cell_length_a 5.382
_cell_length_b 3.273
_cell_length_c 8.431
_cell_angle_alpha 90.00
_cell_angle_beta 102.26
_cell_angle_gamma 90.00
_space_group_name_H-M_alt 'P 1 2/m 1'
_space_group_IT_number 10
loop_
_space_group_symop_operation_xyz
'x,y,z'
'-x,-y,-z'
'-x,y,-z'
'x,-y,z'
loop_
_atom_site_label
_atom_site_fract_x
_atom_site_fract_y
_atom_site_fract_z
Zr1 0.227 0.000 0.185
Hg1 0.000 0.000 0.500
Hg2 0.500 0.500 0.500
Pb1 0.271 0.500 0.843
# - Mass density: 11.42 g/cm³
# - Crystal system: monoclinic
# - DOS at the Fermi energy: 2.80 states/eV per cell
# - DFT formation energy: -0.061 eV per atom
# - Energy above the lowest structure with this stoichiometry: 44 meV per atom